Computed, not measured: an optimized crystal structure of RbMo2O6 at the GGA+U level of DFT.

Unit cell a=7.391 b=7.391 c=7.391 alpha=60.00 beta=60.00 gamma=60.00
Element x y z (fractional)
Rb (0.125, 0.125, 0.125)
Rb (0.875, 0.875, 0.875)
Mo (0.000, 0.500, 0.500)
Mo (0.500, 0.000, 0.500)
Mo (0.500, 0.500, 0.000)
Mo (0.500, 0.500, 0.500)
O (0.189, 0.189, 0.561)
O (0.189, 0.561, 0.189)
O (0.189, 0.561, 0.561)
O (0.439, 0.439, 0.811)
O (0.439, 0.811, 0.439)
O (0.439, 0.811, 0.811)
O (0.561, 0.189, 0.189)
O (0.561, 0.189, 0.561)
O (0.561, 0.561, 0.189)
O (0.811, 0.439, 0.439)
O (0.811, 0.439, 0.811)
O (0.811, 0.811, 0.439)

Results
distance to the lowest polymorph of the same formula = 0 meV/atom
DOS at the Fermi energy = 0.4328 states/eV/atom
DFT total energy = -6.6654 eV per atom
total moment = 1.0 μB/f.u.